Density functional theory data (PBE) for PmDyNb2O8 after structural relaxation.

Total moment ... 0.000 μB/f.u.
ΔE_f (raw) ... -3575 kJ/mol of formula units
Crystal system ... tetragonal
N(E_F) ... 0.000 states/eV/atom

```
data_PmDyNb2O8
_chemical_formula_sum 'Pm2 Dy2 Nb4 O16'
_space_group_name_H-M_alt 'I -4'
_space_group_IT_number 82
_cell_length_a 5.302
_cell_length_b 5.302
_cell_length_c 11.285
_cell_angle_alpha 90.00
_cell_angle_beta 90.00
_cell_angle_gamma 90.00
loop_
_space_group_symop_operation_xyz
'x,y,z'
'y,-x,-z'
'-x,-y,z'
'-y,x,-z'
'x+1/2,y+1/2,z+1/2'
'y+1/2,-x+1/2,-z+1/2'
'-x+1/2,-y+1/2,z+1/2'
'-y+1/2,x+1/2,-z+1/2'
loop_
_atom_site_label
_atom_site_type_symbol
_atom_site_fract_x
_atom_site_fract_y
_atom_site_fract_z
Pm1 Pm 0.000 0.000 0.000
Dy1 Dy 0.000 0.500 0.250
Nb1 Nb 0.000 0.000 0.500
Nb2 Nb 0.000 0.500 0.750
O1 O 0.168 0.252 0.410
O2 O 0.176 0.751 0.837
```